# 1
! TlAg2OsBr8 PBE-GGA optimized geometry; values from VASP
! symmetry	P2/m (10)
! total DFT energy (no corrections)	-0.223	Ry/atom
! raw formation energy	-0.31	eV per atom
! DOS at the Fermi energy	0.50	states/eV per atom
! total magnetic moment	1.0	μB/f.u.
&SYSTEM
  ibrav = 0, nat = 12, ntyp = 4
/
ATOMIC_SPECIES
Tl 204.38 Tl.upf
Ag 107.87 Ag.upf
Os 190.23 Os.upf
Br 79.90 Br.upf
CELL_PARAMETERS angstrom
6.398 0.000 0.000
0.000 8.212 0.000
-0.749 0.000 7.163
ATOMIC_POSITIONS angstrom
Tl 0.000 0.000 0.000
Ag -0.375 1.987 3.582
Ag -0.375 6.225 3.582
Os 0.000 4.106 0.000
Br 0.732 4.106 5.154
Br 1.403 2.338 1.080
Br 1.403 5.875 1.080
Br 1.082 0.000 4.867
Br 4.567 0.000 2.297
Br 4.246 2.338 6.083
Br 4.246 5.875 6.083
Br 4.917 4.106 2.010

=====

# 2
! VAg2OsBr PBE-GGA optimized geometry; values from VASP
! symmetry	P4/mmm (123)
! total DFT energy (no corrections)	-0.267	Ry/atom
! raw formation energy	1.91	eV per atom
! DOS at the Fermi energy	1.70	states/eV per atom
! total magnetic moment	0.0	μB/f.u.
&SYSTEM
  ibrav = 0, nat = 5, ntyp = 4
/
ATOMIC_SPECIES
V 50.94 V.upf
Ag 107.87 Ag.upf
Os 190.23 Os.upf
Br 79.90 Br.upf
CELL_PARAMETERS angstrom
4.831 0.000 0.000
0.000 4.831 0.000
0.000 0.000 4.474
ATOMIC_POSITIONS angstrom
V 0.000 0.000 0.000
Ag 0.000 2.415 2.237
Ag 2.415 0.000 2.237
Os 2.415 2.415 0.000
Br 0.000 0.000 2.237

=====

# 3
! AgPBr4 PBE-GGA optimized geometry; values from VASP
! symmetry	F-43m (216)
! total DFT energy (no corrections)	-0.110	Ry/atom
! excess energy over the best structure of this formula in the dataset	1282	meV per atom
! raw formation energy	0.99	eV per atom
! DOS at the Fermi energy	0.94	states/eV per atom
! total magnetic moment	2.5	μB/f.u.
&SYSTEM
  ibrav = 0, nat = 6, ntyp = 3
/
ATOMIC_SPECIES
Ag 107.87 Ag.upf
P 30.97 P.upf
Br 79.90 Br.upf
CELL_PARAMETERS angstrom
0.000 4.449 4.449
4.449 0.000 4.449
4.449 4.449 0.000
ATOMIC_POSITIONS angstrom
Ag 0.000 0.000 0.000
P 2.225 2.225 2.225
Br 5.564 3.334 3.334
Br 3.334 5.564 3.334
Br 3.334 3.334 5.564
Br 5.564 5.564 5.564

=====

# 4
! AgP4Br PBE-GGA optimized geometry; values from VASP
! symmetry	F-43m (216)
! total DFT energy (no corrections)	-0.300	Ry/atom
! raw formation energy	0.28	eV per atom
! total magnetic moment	0.0	μB/f.u.
&SYSTEM
  ibrav = 0, nat = 6, ntyp = 3
/
ATOMIC_SPECIES
Ag 107.87 Ag.upf
P 30.97 P.upf
Br 79.90 Br.upf
CELL_PARAMETERS angstrom
0.000 4.171 4.171
4.171 0.000 4.171
4.171 4.171 0.000
ATOMIC_POSITIONS angstrom
Ag 0.000 0.000 0.000
P 4.952 3.390 3.390
P 3.390 4.952 3.390
P 3.390 3.390 4.952
P 4.952 4.952 4.952
Br 2.085 2.085 2.085

=====

# 5
! Ag2PBr PBE-GGA optimized geometry; values from VASP
! symmetry	I-42d (122)
! total DFT energy (no corrections)	-0.222	Ry/atom
! raw formation energy	0.17	eV per atom
! DOS at the Fermi energy	0.32	states/eV per atom
! total magnetic moment	0.0	μB/f.u.
&SYSTEM
  ibrav = 0, nat = 8, ntyp = 3
/
ATOMIC_SPECIES
Ag 107.87 Ag.upf
P 30.97 P.upf
Br 79.90 Br.upf
CELL_PARAMETERS angstrom
-3.162 3.162 5.223
3.162 -3.162 5.223
3.162 3.162 -5.223
ATOMIC_POSITIONS angstrom
Ag 4.742 1.266 -1.306
Ag 1.266 1.581 1.306
Ag -1.581 1.896 3.918
Ag 1.896 1.581 6.529
P 0.000 0.000 0.000
P 0.000 3.162 2.612
Br 3.162 0.000 2.612
Br 0.000 0.000 5.223

=====

# 6
! Ag2PBr PBE-GGA optimized geometry; values from VASP
! symmetry	Fm-3m (225)
! total DFT energy (no corrections)	-0.193	Ry/atom
! raw formation energy	0.57	eV per atom
! DOS at the Fermi energy	0.35	states/eV per atom
! total magnetic moment	2.0	μB/f.u.
&SYSTEM
  ibrav = 0, nat = 4, ntyp = 3
/
ATOMIC_SPECIES
Ag 107.87 Ag.upf
P 30.97 P.upf
Br 79.90 Br.upf
CELL_PARAMETERS angstrom
0.000 3.454 3.454
3.454 0.000 3.454
3.454 3.454 0.000
ATOMIC_POSITIONS angstrom
Ag 1.727 1.727 1.727
Ag 5.181 5.181 5.181
P 0.000 0.000 0.000
Br 3.454 3.454 3.454